Compound: Zn2IBr
Source: the Alexandria database
Functional: PBE
Structure: optimized geometry

a b c (Å): 7.530 7.530 6.751
angles (deg): 56.10 56.10 90.00
Element x y z (fractional)
I: 0.000 0.000 0.000
I: 0.750 0.250 0.500
Zn: 0.609 0.125 0.250
Zn: 0.141 0.625 0.250
Zn: 0.375 0.391 0.750
Zn: 0.875 0.859 0.750
Br: 0.500 0.500 0.000
Br: 0.250 0.750 0.500

Values from the calculation:
ΔE to the lowest computed polymorph = 0 meV/atom
N(E_F) = 0.1246 states/eV/atom
Final energy = -11.78 eV per cell
Formation energy without anion corrections = -0.1 eV/f.u.